(1)
## TaNiBMo (PBE)

Data for a relaxed TaNiBMo crystal.

The distance to the lowest polymorph of the same formula is 0.00 eV per formula unit. Its space group is F-43m, No. 216.

Geometry as POSCAR:
```
TaNiBMo
1.0
5.883 0.000 0.000
0.000 5.883 0.000
0.000 0.000 5.883
Ta Ni B Mo
4 4 4 4
Cartesian
0.000 0.000 0.000
0.000 2.942 2.942
2.942 0.000 2.942
2.942 2.942 0.000
1.471 1.471 4.413
1.471 4.413 1.471
4.413 1.471 1.471
4.413 4.413 4.413
1.471 1.471 1.471
1.471 4.413 4.413
4.413 1.471 4.413
4.413 4.413 1.471
0.000 0.000 2.942
0.000 2.942 0.000
2.942 0.000 0.000
2.942 2.942 2.942
```


(2)
## TaNiBMo (PBE)

Data for a relaxed TaNiBMo crystal.

The distance to the lowest polymorph of the same formula is 1.26 eV per formula unit. Its space group is F-43m, No. 216.

Geometry as POSCAR:
```
TaNiBMo
1.0
5.948 0.000 0.000
0.000 5.948 0.000
0.000 0.000 5.948
Ta Ni B Mo
4 4 4 4
Cartesian
0.000 0.000 0.000
0.000 2.974 2.974
2.974 0.000 2.974
2.974 2.974 0.000
1.487 1.487 4.461
1.487 4.461 1.487
4.461 1.487 1.487
4.461 4.461 4.461
0.000 0.000 2.974
0.000 2.974 0.000
2.974 0.000 0.000
2.974 2.974 2.974
1.487 1.487 1.487
1.487 4.461 4.461
4.461 1.487 4.461
4.461 4.461 1.487
```


(3)
## TcNiBMo (PBE)

Data for a relaxed TcNiBMo crystal.

The distance to the lowest polymorph of the same formula is 0.00 eV per formula unit. Its space group is F-43m, No. 216.

Geometry as POSCAR:
```
TcNiBMo
1.0
5.733 0.000 0.000
0.000 5.733 0.000
0.000 0.000 5.733
Tc Ni B Mo
4 4 4 4
Cartesian
0.000 0.000 0.000
0.000 2.867 2.867
2.867 0.000 2.867
2.867 2.867 0.000
1.433 1.433 4.300
1.433 4.300 1.433
4.300 1.433 1.433
4.300 4.300 4.300
1.433 1.433 1.433
1.433 4.300 4.300
4.300 1.433 4.300
4.300 4.300 1.433
0.000 0.000 2.867
0.000 2.867 0.000
2.867 0.000 0.000
2.867 2.867 2.867
```


(4)
## TcNiBMo (PBE)

Data for a relaxed TcNiBMo crystal.

The distance to the lowest polymorph of the same formula is 0.94 eV per formula unit. Its space group is F-43m, No. 216.

Geometry as POSCAR:
```
TcNiBMo
1.0
5.811 0.000 0.000
0.000 5.811 0.000
0.000 0.000 5.811
Tc Ni B Mo
4 4 4 4
Cartesian
0.000 0.000 0.000
0.000 2.906 2.906
2.906 0.000 2.906
2.906 2.906 0.000
0.000 0.000 2.906
0.000 2.906 0.000
2.906 0.000 0.000
2.906 2.906 2.906
1.453 1.453 1.453
1.453 4.359 4.359
4.359 1.453 4.359
4.359 4.359 1.453
1.453 1.453 4.359
1.453 4.359 1.453
4.359 1.453 1.453
4.359 4.359 4.359
```


Please write out number 1 again, unchanged.
## TaNiBMo (PBE)

Data for a relaxed TaNiBMo crystal.

The distance to the lowest polymorph of the same formula is 0.00 eV per formula unit. Its space group is F-43m, No. 216.

Geometry as POSCAR:
```
TaNiBMo
1.0
5.883 0.000 0.000
0.000 5.883 0.000
0.000 0.000 5.883
Ta Ni B Mo
4 4 4 4
Cartesian
0.000 0.000 0.000
0.000 2.942 2.942
2.942 0.000 2.942
2.942 2.942 0.000
1.471 1.471 4.413
1.471 4.413 1.471
4.413 1.471 1.471
4.413 4.413 4.413
1.471 1.471 1.471
1.471 4.413 4.413
4.413 1.471 4.413
4.413 4.413 1.471
0.000 0.000 2.942
0.000 2.942 0.000
2.942 0.000 0.000
2.942 2.942 2.942
```